Entry 1:
## BaCaIn2 (PBEsol)

Data for a geometry-optimized BaCaIn2 structure.

Results
The space group is Pm, No. 6. The value obtained for the density of states at the Fermi level is 0.51 states/eV/atom. As for the crystal system: monoclinic. The calculation puts the magnetization at 0.0 μB per formula unit. The calculation puts the formation energy at -0.424 eV per atom.

Cell lengths 4.105, 4.921, 6.946 Å; angles 90.00, 107.07, 90.00 degrees
Sites, in units of the cell vectors:
Ba (0.531, 0.000, 0.439)
In (0.933, 0.500, 0.241)
Ca (0.236, 0.500, 0.845)
In (0.801, 0.000, 0.975)

=====

Entry 2:
## Ba2CaIn (PBEsol)

Data for a geometry-optimized Ba2CaIn structure.

Results
The space group is P4mm, No. 99. The value obtained for the density of states at the Fermi level is 1.26 states/eV/atom. As for the crystal system: tetragonal. The calculation puts the magnetization at 0.0 μB per formula unit. The calculation puts the formation energy at -0.214 eV per atom. The value obtained for the energy above the most stable polymorph in this dataset is 10 meV/atom.

Cell lengths 4.055, 4.055, 10.343 Å; angles 90.00, 90.00, 90.00 degrees
Sites, in units of the cell vectors:
Ca (0.000, 0.000, 0.568)
Ba (0.500, 0.500, 0.279)
Ba (0.000, 0.000, 0.933)
In (0.500, 0.500, 0.720)

=====

Entry 3:
## BaCaIn2 (PBEsol)

Data for a geometry-optimized BaCaIn2 structure.

Results
The space group is P4/mmm, No. 123. The value obtained for the density of states at the Fermi level is 0.82 states/eV/atom. As for the crystal system: tetragonal. The calculation puts the magnetization at 0.0 μB per formula unit. The calculation puts the formation energy at -0.390 eV per atom.

Cell lengths 4.010, 5.674, 5.674 Å; angles 90.00, 90.00, 90.00 degrees
Sites, in units of the cell vectors:
Ba (0.500, 0.500, 0.500)
In (0.000, 0.500, 0.000)
Ca (0.500, 0.000, 0.000)
In (0.000, 0.000, 0.500)